1.
VASP calculation (GGA-PBE) on a geometry-optimized ErCu2Ni2 structure.

Values from the calculation:
Formation energy from the elements, meV per atom: -196
Space group: No. 139
Crystal system: tetragonal
Spin magnetization, μB per formula unit: 0.00

Cell and atoms, written as POSCAR:
```
ErCu2Ni2
1.0
3.7985 0.0000 0.0000
0.0000 3.7985 0.0000
-1.8992 -1.8992 10.4002
Er Cu Ni
2 4 4
Direct
0.6256 0.6256 0.2511
0.3744 0.3744 0.7489
0.1804 0.1804 0.3607
0.5000 0.0000 0.0000
0.0000 0.5000 0.0000
0.8196 0.8196 0.6393
0.0696 0.0696 0.1392
0.2500 0.7500 0.5000
0.7500 0.2500 0.5000
0.9304 0.9304 0.8608
```

2.
VASP calculation (GGA-PBE) on a geometry-optimized VGaH structure.

Values from the calculation:
Space group: No. 44
Energy above the lowest structure with this stoichiometry, kJ per mole of atoms: 4.36
Crystal system: orthorhombic
Spin magnetization, μB per formula unit: 0.00

Cell and atoms, written as POSCAR:
```
VGaH
1.0
-2.5140 -1.5560 0.0987
0.1895 -3.3659 -3.9034
1.3361 -4.9219 0.7692
V H Ga
2 2 2
Direct
0.7239 0.9514 0.6007
0.2761 0.3993 0.0486
0.3067 0.0135 0.3730
0.6933 0.6270 0.9865
0.0000 0.4402 0.5598
0.0000 0.9406 0.0594
```

3.
VASP calculation (GGA-PBE) on a geometry-optimized CaMgSi2Pt2 structure.

Values from the calculation:
Space group: No. 164
E_form (uncorrected), eV per atom: -0.857
Crystal system: trigonal
Spin magnetization, μB per formula unit: 0.00

Cell and atoms, written as POSCAR:
```
CaMgSi2Pt2
1.0
4.2539 0.0000 0.0000
-2.1270 3.6840 0.0000
0.0000 0.0000 6.9934
Si Pt Mg Ca
2 2 1 1
Direct
0.3333 0.6667 0.7012
0.6667 0.3333 0.2988
0.6667 0.3333 0.6935
0.3333 0.6667 0.3065
0.0000 0.0000 0.5000
0.0000 0.0000 0.0000
```

4.
VASP calculation (GGA-PBE) on a geometry-optimized OsRuPt2 structure.

Values from the calculation:
Formation energy from the elements, meV per atom: 158
Space group: No. 65
Energy above the lowest structure with this stoichiometry, kJ per mole of atoms: 16.14
Crystal system: orthorhombic
Spin magnetization, μB per formula unit: 0.00

Cell and atoms, written as POSCAR:
```
OsRuPt2
1.0
4.7893 -0.0047 0.0000
-1.6556 4.4940 0.0000
0.0000 0.0000 2.7563
Pt Os Ru
2 1 1
Direct
0.5000 0.5000 0.0000
0.0000 0.0000 0.0000
0.0000 0.5000 0.5000
0.5000 0.0000 0.5000
```

5.
VASP calculation (GGA-PBE) on a geometry-optimized Ba3Sr6Ir structure.

Values from the calculation:
Formation energy from the elements, meV per atom: -86
Space group: No. 63
Crystal system: orthorhombic
Spin magnetization, μB per formula unit: 0.00

Cell and atoms, written as POSCAR:
```
Ba3Sr6Ir
1.0
6.0744 0.0000 0.0000
0.0000 12.9219 -2.1702
0.0000 2.0082 12.9481
Ir Ba Sr
2 6 12
Direct
0.6484 0.7506 0.2494
0.1484 0.2494 0.7506
0.6485 0.5908 0.4092
0.6486 0.2522 0.0837
0.6486 0.9163 0.7478
0.1485 0.4092 0.5908
0.1486 0.7478 0.9163
0.1486 0.0837 0.2522
0.1487 0.4176 0.2479
0.1485 0.0891 0.5914
0.1485 0.4086 0.9109
0.6485 0.5914 0.0891
0.1487 0.7521 0.5824
0.1485 0.0914 0.9086
0.6485 0.9086 0.0914
0.6485 0.9109 0.4086
0.6485 0.2498 0.7502
0.1485 0.7502 0.2498
0.6487 0.2479 0.4176
0.6487 0.5824 0.7521
```

6.
VASP calculation (GGA-PBE) on a geometry-optimized Nd2Er7In2 structure.

Values from the calculation:
Formation energy from the elements, meV per atom: -35
Space group: No. 44
Crystal system: orthorhombic
Spin magnetization, μB per formula unit: 0.00

Cell and atoms, written as POSCAR:
```
Nd2Er7In2
1.0
-0.6532 -2.7768 -2.2533
-7.4168 -5.5982 6.1167
-11.1084 0.5045 -0.3337
Er Nd In
7 2 2
Direct
0.6339 0.4449 0.2872
0.1348 0.1224 0.6080
0.1622 0.7282 0.9474
0.8652 0.3920 0.8776
0.5000 0.0560 0.9440
0.3661 0.7128 0.5551
0.8378 0.0526 0.2718
0.5000 0.3985 0.6015
0.0000 0.7381 0.2619
0.7432 0.8610 0.6527
0.2568 0.3473 0.1390
```

7.
VASP calculation (GGA-PBE) on a geometry-optimized CeNd2Au structure.

Values from the calculation:
Formation energy from the elements, meV per atom: -114
Space group: No. 225
Energy above the lowest structure with this stoichiometry, kJ per mole of atoms: 19.81
Crystal system: cubic
Spin magnetization, μB per formula unit: 1.24

Cell and atoms, written as POSCAR:
```
CeNd2Au
1.0
-4.3915 -1.3589 -2.6464
-2.4139 -4.6040 1.0541
-4.6893 -0.0289 2.4807
Ce Au Nd
1 1 2
Direct
0.5000 0.5000 0.5000
0.0000 0.0000 0.0000
0.2499 0.2499 0.2502
0.7501 0.7501 0.7498
```

8.
VASP calculation (GGA-PBE) on a geometry-optimized SbAsIr2 structure.

Values from the calculation:
Space group: No. 160
Energy above the lowest structure with this stoichiometry, kJ per mole of atoms: 34.73
E_form (uncorrected), eV per atom: 0.202
Crystal system: trigonal
Spin magnetization, μB per formula unit: 0.00

Cell and atoms, written as POSCAR:
```
SbAsIr2
1.0
10.1018 -0.0061 -0.0036
9.6395 3.0210 -0.0036
9.6395 1.4722 2.6380
Ir As Sb
2 1 1
Direct
0.2568 0.2568 0.2568
0.9989 0.9989 0.9989
0.7236 0.7236 0.7236
0.5207 0.5207 0.5207
```